4
Lattice="2.767 0.000 0.000 0.000 2.767 0.000 0.000 0.000 7.310" Properties=species:S:1:pos:R:3 comment="UFe2Tc PBE-GGA relaxed" relative_energy_ev_per_atom=0.133 delta_e_f_mev_per_atom=124.1 pbc="T T T"
U 0.000 0.000 0.000
Fe 1.383 1.383 1.970
Fe 1.383 1.383 5.340
Tc 0.000 0.000 3.655